(1)
# LiSb2Ru2 | Alexandria via LeMat-Bulk | PBE | optimized geometry
# * density of states at the Fermi level: 0.646 states/eV/atom
# * formation energy (no corrections): -131 meV per atom
# * final energy: -5.87 eV per atom
data_LiSb2Ru2
_chemical_formula_sum 'Li2 Sb4 Ru4'
_cell_length_a 7.5968
_cell_length_b 7.5968
_cell_length_c 3.1139
_cell_angle_alpha 90.00
_cell_angle_beta 90.00
_cell_angle_gamma 90.00
_symmetry_space_group_name_H-M 'P 4/m b m'
_symmetry_Int_Tables_number 127
_symmetry_space_group_name_Hall '-P 4 2ab'
loop_
_atom_site_label
_atom_site_fract_x
_atom_site_fract_y
_atom_site_fract_z
Li1 0.0000 0.0000 0.0000
Sb1 0.1586 0.3414 0.5000
Ru1 0.1378 0.6378 0.0000



(2)
# CrTcW2 | Alexandria via LeMat-Bulk | PBE | optimized geometry
# * density of states at the Fermi level: 0.718 states/eV/atom
# * final energy: -11.42 eV per atom
# * ΔH_f (0 K): 0.06 eV/atom
data_CrTcW2
_chemical_formula_sum 'Cr1 Tc1 W2'
_cell_length_a 3.0902
_cell_length_b 3.0902
_cell_length_c 6.1861
_cell_angle_alpha 90.00
_cell_angle_beta 90.00
_cell_angle_gamma 90.00
_symmetry_space_group_name_H-M 'P 4 m m'
_symmetry_Int_Tables_number 99
_symmetry_space_group_name_Hall 'P 4 -2'
loop_
_atom_site_label
_atom_site_fract_x
_atom_site_fract_y
_atom_site_fract_z
Cr1 0.0000 0.0000 0.0000
Tc1 0.5000 0.5000 0.2582
W1 0.0000 0.0000 0.5026
W2 0.5000 0.5000 0.7752



(3)
# Zn2GaAg | Alexandria via LeMat-Bulk | PBE | optimized geometry
# * density of states at the Fermi level: 0.302 states/eV/atom
# * final energy: -1.94 eV per atom
# * ΔH_f (0 K): 0.16 eV/atom
data_Zn2GaAg
_chemical_formula_sum 'Zn8 Ga4 Ag4'
_cell_length_a 7.5054
_cell_length_b 7.5054
_cell_length_c 5.2413
_cell_angle_alpha 90.00
_cell_angle_beta 90.00
_cell_angle_gamma 90.00
_symmetry_space_group_name_H-M 'I -4 2 d'
_symmetry_Int_Tables_number 122
_symmetry_space_group_name_Hall 'I -4 2bw'
loop_
_atom_site_label
_atom_site_fract_x
_atom_site_fract_y
_atom_site_fract_z
Zn1 0.2433 0.2500 0.1250
Ga1 0.0000 0.0000 0.0000
Ag1 0.0000 0.0000 0.5000



(4)
# Na2Re2Tc | Alexandria via LeMat-Bulk | PBE | optimized geometry
# * density of states at the Fermi level: 0.798 states/eV/atom
# * final energy: -6.69 eV per atom
# * ΔH_f (0 K): 0.89 eV/atom
data_Na2Re2Tc
_chemical_formula_sum 'Na4 Re4 Tc2'
_cell_length_a 6.2324
_cell_length_b 6.2324
_cell_length_c 5.4059
_cell_angle_alpha 90.00
_cell_angle_beta 90.00
_cell_angle_gamma 90.00
_symmetry_space_group_name_H-M 'P 4/m b m'
_symmetry_Int_Tables_number 127
_symmetry_space_group_name_Hall '-P 4 2ab'
loop_
_atom_site_label
_atom_site_fract_x
_atom_site_fract_y
_atom_site_fract_z
Na1 0.1768 0.3232 0.0000
Re1 0.1342 0.6342 0.5000
Tc1 0.0000 0.0000 0.5000



(5)
# DyErBiTe | Alexandria via LeMat-Bulk | PBE | optimized geometry
# * density of states at the Fermi level: 0.359 states/eV/atom
# * formation energy (no corrections): -1061 meV per atom
# * final energy: -5.11 eV per atom
data_DyErBiTe
_chemical_formula_sum 'Dy1 Er1 Bi1 Te1'
_cell_length_a 4.3999
_cell_length_b 4.3999
_cell_length_c 6.2172
_cell_angle_alpha 90.00
_cell_angle_beta 90.00
_cell_angle_gamma 90.00
_symmetry_space_group_name_H-M 'P 4 m m'
_symmetry_Int_Tables_number 99
_symmetry_space_group_name_Hall 'P 4 -2'
loop_
_atom_site_label
_atom_site_fract_x
_atom_site_fract_y
_atom_site_fract_z
Dy1 0.0000 0.0000 0.0000
Er1 0.5000 0.5000 0.4985
Bi1 0.5000 0.5000 0.9986
Te1 0.0000 0.0000 0.4998



(6)
# Pm3Sm2Te5 | Alexandria via LeMat-Bulk | PBE | optimized geometry
# * density of states at the Fermi level: 0.520 states/eV/atom
# * formation energy (no corrections): -1318 meV per atom
# * final energy: -5.26 eV per atom
data_Pm3Sm2Te5
_chemical_formula_sum 'Pm6 Sm4 Te10'
_cell_length_a 16.0529
_cell_length_b 4.2460
_cell_length_c 11.3804
_cell_angle_alpha 90.00
_cell_angle_beta 125.65
_cell_angle_gamma 90.00
_symmetry_space_group_name_H-M 'C 1 2/m 1'
_symmetry_Int_Tables_number 12
_symmetry_space_group_name_Hall '-C 2y'
loop_
_atom_site_label
_atom_site_fract_x
_atom_site_fract_y
_atom_site_fract_z
Pm1 0.0000 0.0000 0.0000
Pm2 0.1200 0.5000 0.3701
Sm1 0.1528 0.0000 0.7462
Te1 0.0000 0.5000 0.5000
Te2 0.1139 0.5000 0.9228
Te3 0.2171 0.0000 0.2896



(7)
# MoOs4 | Alexandria via LeMat-Bulk | PBE | optimized geometry
# * density of states at the Fermi level: 1.013 states/eV/atom
# * final energy: -10.43 eV per atom
# * ΔH_f (0 K): 0.72 eV/atom
data_MoOs4
_chemical_formula_sum 'Mo2 Os8'
_cell_length_a 3.7538
_cell_length_b 3.7538
_cell_length_c 11.7028
_cell_angle_alpha 90.00
_cell_angle_beta 90.00
_cell_angle_gamma 90.00
_symmetry_space_group_name_H-M 'I 4/m m m'
_symmetry_Int_Tables_number 139
_symmetry_space_group_name_Hall '-I 4 2'
loop_
_atom_site_label
_atom_site_fract_x
_atom_site_fract_y
_atom_site_fract_z
Mo1 0.0000 0.0000 0.0000
Os1 0.0000 0.0000 0.3987
Os2 0.0000 0.5000 0.2500



(8)
# K4Zn3CuF12 | Alexandria via LeMat-Bulk | PBE | optimized geometry
# * density of states at the Fermi level: 0.334 states/eV/atom
# * formation energy (no corrections): -2434 meV per atom
# * final energy: -4.17 eV per atom
data_K4Zn3CuF12
_chemical_formula_sum 'K8 Zn6 Cu2 F24'
_cell_length_a 8.2373
_cell_length_b 8.2373
_cell_length_c 8.2373
_cell_angle_alpha 90.00
_cell_angle_beta 90.00
_cell_angle_gamma 90.00
_symmetry_space_group_name_H-M 'I m -3 m'
_symmetry_Int_Tables_number 229
_symmetry_space_group_name_Hall '-I 4 2 3'
loop_
_atom_site_label
_atom_site_fract_x
_atom_site_fract_y
_atom_site_fract_z
K1 0.2500 0.2500 0.2500
Zn1 0.0000 0.0000 0.5000
Cu1 0.0000 0.0000 0.0000
F1 0.0000 0.0000 0.2501
F2 0.0000 0.2500 0.5000



(9)
# LiTmCdBr6 | Alexandria via LeMat-Bulk | PBE | optimized geometry
# * density of states at the Fermi level: 0.000 states/eV/atom
# * formation energy (no corrections): -1415 meV per atom
# * final energy: -3.34 eV per atom
data_LiTmCdBr6
_chemical_formula_sum 'Li2 Tm2 Cd2 Br12'
_cell_length_a 6.9915
_cell_length_b 6.9915
_cell_length_c 12.7913
_cell_angle_alpha 90.00
_cell_angle_beta 90.00
_cell_angle_gamma 120.00
_symmetry_space_group_name_H-M 'P -3 1 c'
_symmetry_Int_Tables_number 163
_symmetry_space_group_name_Hall '-P 3 2c'
loop_
_atom_site_label
_atom_site_fract_x
_atom_site_fract_y
_atom_site_fract_z
Li1 0.0000 0.0000 0.0000
Tm1 0.3333 0.6667 0.2500
Cd1 0.3333 0.6667 0.7500
Br1 0.0047 0.3433 0.1257



(10)
# LiCa3Er2S6 | Alexandria via LeMat-Bulk | PBE | optimized geometry
# * density of states at the Fermi level: 0.287 states/eV/atom
# * formation energy (no corrections): -2013 meV per atom
# * final energy: -5.50 eV per atom
data_LiCa3Er2S6
_chemical_formula_sum 'Li2 Ca6 Er4 S12'
_cell_length_a 6.8144
_cell_length_b 11.7961
_cell_length_c 6.8384
_cell_angle_alpha 90.00
_cell_angle_beta 109.38
_cell_angle_gamma 90.00
_symmetry_space_group_name_H-M 'C 1 2/m 1'
_symmetry_Int_Tables_number 12
_symmetry_space_group_name_Hall '-C 2y'
loop_
_atom_site_label
_atom_site_fract_x
_atom_site_fract_y
_atom_site_fract_z
Li1 0.0000 0.0000 0.0000
Ca1 0.0000 0.1650 0.5000
Ca2 0.0000 0.5000 0.5000
Er1 0.0000 0.3330 0.0000
S1 0.2442 0.5000 0.2378
S2 0.2475 0.1677 0.2390



(11)
# GaCoP2Cl | Alexandria via LeMat-Bulk | PBE | optimized geometry
# * density of states at the Fermi level: 1.951 states/eV/atom
# * formation energy (no corrections): 1049 meV per atom
# * final energy: -3.51 eV per atom
data_GaCoP2Cl
_chemical_formula_sum 'Ga1 Co1 P2 Cl1'
_cell_length_a 4.6911
_cell_length_b 4.6911
_cell_length_c 4.8154
_cell_angle_alpha 90.00
_cell_angle_beta 90.00
_cell_angle_gamma 90.00
_symmetry_space_group_name_H-M 'P 4/m m m'
_symmetry_Int_Tables_number 123
_symmetry_space_group_name_Hall '-P 4 2'
loop_
_atom_site_label
_atom_site_fract_x
_atom_site_fract_y
_atom_site_fract_z
Ga1 0.0000 0.0000 0.0000
Co1 0.5000 0.5000 0.5000
P1 0.0000 0.5000 0.0000
Cl1 0.0000 0.0000 0.5000



(12)
# Tl3BRh | Alexandria via LeMat-Bulk | PBE | optimized geometry
# * density of states at the Fermi level: 0.855 states/eV/atom
# * final energy: -3.24 eV per atom
# * ΔH_f (0 K): 0.99 eV/atom
data_Tl3BRh
_chemical_formula_sum 'Tl3 B1 Rh1'
_cell_length_a 5.2395
_cell_length_b 5.2395
_cell_length_c 5.2395
_cell_angle_alpha 90.00
_cell_angle_beta 90.00
_cell_angle_gamma 90.00
_symmetry_space_group_name_H-M 'P m -3 m'
_symmetry_Int_Tables_number 221
_symmetry_space_group_name_Hall '-P 4 2 3'
loop_
_atom_site_label
_atom_site_fract_x
_atom_site_fract_y
_atom_site_fract_z
Tl1 0.0000 0.0000 0.5000
B1 0.5000 0.5000 0.5000
Rh1 0.0000 0.0000 0.0000



(13)
# Zr2In4Bi | Alexandria via LeMat-Bulk | PBE | optimized geometry
# * density of states at the Fermi level: 0.646 states/eV/atom
# * final energy: -4.52 eV per atom
# * ΔH_f (0 K): 0.04 eV/atom
data_Zr2In4Bi
_chemical_formula_sum 'Zr4 In8 Bi2'
_cell_length_a 8.9580
_cell_length_b 9.0025
_cell_length_c 6.3330
_cell_angle_alpha 90.00
_cell_angle_beta 134.73
_cell_angle_gamma 90.00
_symmetry_space_group_name_H-M 'C 1 2/m 1'
_symmetry_Int_Tables_number 12
_symmetry_space_group_name_Hall '-C 2y'
loop_
_atom_site_label
_atom_site_fract_x
_atom_site_fract_y
_atom_site_fract_z
Zr1 0.2500 0.2500 0.0000
In1 0.0000 0.0000 0.0000
In2 0.0000 0.5000 0.0000
In3 0.2500 0.2500 0.5000
Bi1 0.0000 0.0000 0.5000



(14)
# Mg3Ni8Ge4 | Alexandria via LeMat-Bulk | PBE | optimized geometry
# * density of states at the Fermi level: 0.853 states/eV/atom
# * final energy: -4.97 eV per atom
# * ΔH_f (0 K): -0.34 eV/atom
data_Mg3Ni8Ge4
_chemical_formula_sum 'Mg24 Ni64 Ge32'
_cell_length_a 11.6733
_cell_length_b 11.6733
_cell_length_c 11.6733
_cell_angle_alpha 90.00
_cell_angle_beta 90.00
_cell_angle_gamma 90.00
_symmetry_space_group_name_H-M 'F m -3 m'
_symmetry_Int_Tables_number 225
_symmetry_space_group_name_Hall '-F 4 2 3'
loop_
_atom_site_label
_atom_site_fract_x
_atom_site_fract_y
_atom_site_fract_z
Mg1 0.0000 0.0000 0.2251
Ni1 0.1192 0.1192 0.3808
Ni2 0.1686 0.1686 0.1686
Ge1 0.0000 0.0000 0.0000
Ge2 0.0000 0.0000 0.5000
Ge3 0.0000 0.2500 0.2500



(15)
# Si2BI | Alexandria via LeMat-Bulk | PBE | optimized geometry
# * density of states at the Fermi level: 0.440 states/eV/atom
# * formation energy (no corrections): 556 meV per atom
# * final energy: -4.21 eV per atom
data_Si2BI
_chemical_formula_sum 'Si8 B4 I4'
_cell_length_a 6.0162
_cell_length_b 6.0162
_cell_length_c 8.7011
_cell_angle_alpha 90.00
_cell_angle_beta 90.00
_cell_angle_gamma 90.00
_symmetry_space_group_name_H-M 'I -4 2 d'
_symmetry_Int_Tables_number 122
_symmetry_space_group_name_Hall 'I -4 2bw'
loop_
_atom_site_label
_atom_site_fract_x
_atom_site_fract_y
_atom_site_fract_z
Si1 0.1283 0.2500 0.1250
B1 0.0000 0.0000 0.0000
I1 0.0000 0.0000 0.5000



(16)
# PuTiNi | Alexandria via LeMat-Bulk | PBE | optimized geometry
# * density of states at the Fermi level: 2.606 states/eV/atom
# * final energy: -9.44 eV per atom
# * ΔH_f (0 K): -0.11 eV/atom
data_PuTiNi
_chemical_formula_sum 'Pu8 Ti8 Ni8'
_cell_length_a 5.0357
_cell_length_b 8.7227
_cell_length_c 9.5146
_cell_angle_alpha 90.00
_cell_angle_beta 90.00
_cell_angle_gamma 90.00
_symmetry_space_group_name_H-M 'F m m m'
_symmetry_Int_Tables_number 69
_symmetry_space_group_name_Hall '-F 2 2'
loop_
_atom_site_label
_atom_site_fract_x
_atom_site_fract_y
_atom_site_fract_z
Pu1 0.0000 0.1619 0.0000
Ti1 0.0000 0.0000 0.3423
Ni1 0.2500 0.2500 0.2500



(17)
# Y4CoHg3 | Alexandria via LeMat-Bulk | PBE | optimized geometry
# * density of states at the Fermi level: 0.853 states/eV/atom
# * final energy: -4.63 eV per atom
# * ΔH_f (0 K): -0.40 eV/atom
data_Y4CoHg3
_chemical_formula_sum 'Y4 Co1 Hg3'
_cell_length_a 3.5668
_cell_length_b 3.5668
_cell_length_c 15.2113
_cell_angle_alpha 90.00
_cell_angle_beta 90.00
_cell_angle_gamma 90.00
_symmetry_space_group_name_H-M 'P 4/m m m'
_symmetry_Int_Tables_number 123
_symmetry_space_group_name_Hall '-P 4 2'
loop_
_atom_site_label
_atom_site_fract_x
_atom_site_fract_y
_atom_site_fract_z
Y1 0.0000 0.0000 0.1060
Y2 0.0000 0.0000 0.3701
Co1 0.5000 0.5000 0.0000
Hg1 0.5000 0.5000 0.2407
Hg2 0.5000 0.5000 0.5000



(18)
# CePmSe3 | Alexandria via LeMat-Bulk | PBE | optimized geometry
# * density of states at the Fermi level: 1.260 states/eV/atom
# * formation energy (no corrections): -1869 meV per atom
# * final energy: -6.10 eV per atom
data_CePmSe3
_chemical_formula_sum 'Ce4 Pm4 Se12'
_cell_length_a 7.8322
_cell_length_b 4.1911
_cell_length_c 16.2107
_cell_angle_alpha 90.00
_cell_angle_beta 90.00
_cell_angle_gamma 90.00
_symmetry_space_group_name_H-M 'P n m a'
_symmetry_Int_Tables_number 62
_symmetry_space_group_name_Hall '-P 2ac 2n'
loop_
_atom_site_label
_atom_site_fract_x
_atom_site_fract_y
_atom_site_fract_z
Ce1 0.1355 0.2500 0.2052
Pm1 0.2345 0.7500 0.4567
Se1 0.0069 0.2500 0.3917
Se2 0.1233 0.7500 0.0679
Se3 0.1505 0.2500 0.7801



(19)
# SiOsPt | Alexandria via LeMat-Bulk | PBE | optimized geometry
# * density of states at the Fermi level: 0.995 states/eV/atom
# * formation energy (no corrections): -133 meV per atom
# * final energy: -7.70 eV per atom
data_SiOsPt
_chemical_formula_sum 'Si2 Os2 Pt2'
_cell_length_a 2.9288
_cell_length_b 2.9288
_cell_length_c 9.8962
_cell_angle_alpha 90.00
_cell_angle_beta 90.00
_cell_angle_gamma 90.00
_symmetry_space_group_name_H-M 'I 4 m m'
_symmetry_Int_Tables_number 107
_symmetry_space_group_name_Hall 'I 4 -2'
loop_
_atom_site_label
_atom_site_fract_x
_atom_site_fract_y
_atom_site_fract_z
Si1 0.0000 0.0000 0.0000
Os1 0.0000 0.0000 0.3670
Pt1 0.0000 0.0000 0.6581